Entry 1:
First-principles (PBE-GGA) data for a geometry-optimized PrNd4Sm2 structure, as listed in the Alexandria database.

Structure (extended XYZ):
```
14
Lattice="6.206 0.000 0.000 0.000 6.764 0.000 -3.060 0.000 11.598" Properties=species:S:1:pos:R:3 pbc="T T T"
Pr -1.045 1.691 4.051
Pr 4.190 5.073 7.547
Nd -1.051 1.691 7.559
Nd -1.066 5.073 10.897
Nd 1.566 3.386 2.479
Nd 1.566 6.761 2.479
Nd 1.579 0.004 9.119
Nd 1.579 3.379 9.119
Nd 4.211 1.691 0.700
Nd 4.196 5.073 4.039
Sm -1.959 1.691 10.893
Sm 0.985 5.073 5.790
Sm 2.160 1.691 5.808
Sm 5.104 5.073 0.705
```

## Properties
Energy: -4.647 eV per atom
Formation energy: 0.1089 eV per atom

Entry 2:
First-principles (PBE-GGA) data for a geometry-optimized PrNd6Sm6 structure, as listed in the Alexandria database.

Structure (extended XYZ):
```
13
Lattice="6.768 0.000 0.000 -3.384 5.861 0.000 0.000 0.000 11.662" Properties=species:S:1:pos:R:3 pbc="T T T"
Pr 0.000 0.000 0.000
Nd 0.000 0.000 4.113
Nd 0.000 0.000 7.549
Nd 0.000 3.908 0.000
Nd 0.000 3.908 5.831
Nd 3.384 1.954 0.000
Nd 3.384 1.954 5.831
Sm -1.692 2.931 2.916
Sm -1.692 2.931 8.746
Sm 3.384 0.000 2.916
Sm 3.384 0.000 8.746
Sm 1.692 2.931 2.916
Sm 1.692 2.931 8.746
```

## Properties
Energy: -4.497 eV per atom
Formation energy: 0.2496 eV per atom